Below is a relaxed structure of DyTaW, with properties calculated at the PBE level.

Cell: 5.222 5.222 5.948 Å, 106.10 106.10 111.61°
Fractional positions:
Dy (0.679, 0.321, 0.000)
Dy (0.321, 0.679, 0.000)
Ta (0.172, 0.172, 0.344)
Ta (0.828, 0.828, 0.656)
W (0.750, 0.250, 0.500)
W (0.250, 0.750, 0.500)

Properties
- Space group: Fmmm
- D(E_F): 3.353 states/eV/f.u.
- Energy of formation: 1.13 eV per formula unit



Below is a relaxed structure of PrMnH8Rh2, with properties calculated at the PBE level.

Cell: 4.703 4.703 6.142 Å, 67.49 67.49 60.00°
Fractional positions:
H (0.699, 0.094, 0.847)
H (0.191, 0.191, 0.428)
H (0.809, 0.809, 0.572)
H (0.301, 0.906, 0.153)
H (0.094, 0.359, 0.847)
H (0.641, 0.301, 0.153)
H (0.359, 0.699, 0.847)
H (0.906, 0.641, 0.153)
Pr (0.500, 0.500, 0.500)
Rh (0.707, 0.707, 0.879)
Rh (0.293, 0.293, 0.121)
Mn (0.000, 0.000, 0.000)

Properties
- Space group: R-3
- DFT total energy: -4.816 eV per atom
- D(E_F): 4.613 states/eV/f.u.



Below is a relaxed structure of RbPm3Br8, with properties calculated at the PBE level.

Cell: 8.115 8.115 9.833 Å, 65.63 65.63 60.00°
Fractional positions:
Br (0.739, 0.739, 0.783)
Br (0.738, 0.232, 0.799)
Br (0.261, 0.261, 0.217)
Br (0.768, 0.768, 0.201)
Br (0.768, 0.262, 0.201)
Br (0.262, 0.768, 0.201)
Br (0.232, 0.738, 0.799)
Br (0.232, 0.232, 0.799)
Pm (0.500, 0.500, 0.000)
Pm (0.000, 0.500, 0.000)
Pm (0.500, 0.000, 0.000)
Rb (0.500, 0.500, 0.500)

Properties
- Space group: R-3m
- DFT total energy: -4.122 eV per atom
- D(E_F): 4.685 states/eV/f.u.



Below is a relaxed structure of CuW2Au, with properties calculated at the PBE level.

Cell: 4.460 4.460 4.460 Å, 60.00 60.00 60.00°
Fractional positions:
W (0.250, 0.250, 0.250)
W (0.750, 0.750, 0.750)
Au (0.500, 0.500, 0.500)
Cu (0.000, 0.000, 0.000)

Properties
- Distance to the lowest polymorph of the same formula: 213 kJ/mol of formula units
- Space group: Fm-3m
- D(E_F): 7.522 states/eV/f.u.
- Energy of formation: 3.11 eV per formula unit



Below is a relaxed structure of Ca2LaGeC, with properties calculated at the PBE level.

Cell: 5.020 5.020 4.896 Å, 90.00 90.00 90.00°
Fractional positions:
La (0.000, 0.000, 0.500)
Ca (0.500, 0.000, 0.000)
Ca (0.000, 0.500, 0.000)
Ge (0.500, 0.500, 0.500)
C (0.000, 0.000, 0.000)

Properties
- Space group: P4/mmm
- D(E_F): 3.931 states/eV/f.u.
- Energy of formation: -1.22 eV per formula unit



Below is a relaxed structure of Ca3TbH, with properties calculated at the PBE level.

Cell: 5.273 5.273 5.273 Å, 90.00 90.00 90.00°
Fractional positions:
Ca (0.000, 0.000, 0.500)
Ca (0.000, 0.500, 0.000)
Ca (0.500, 0.000, 0.000)
Tb (0.500, 0.500, 0.500)
H (0.000, 0.000, 0.000)

Properties
- Space group: Pm-3m
- DFT total energy: -2.798 eV per atom
- D(E_F): 6.132 states/eV/f.u.



Below is a relaxed structure of BaAcCu2F8, with properties calculated at the PBE level.

Cell: 5.966 5.966 8.022 Å, 90.00 90.00 120.00°
Fractional positions:
Ba (0.000, 0.000, 0.500)
F (0.667, 0.333, 0.569)
F (0.321, 0.161, 0.217)
F (0.333, 0.667, 0.431)
F (0.679, 0.839, 0.783)
F (0.161, 0.321, 0.783)
F (0.839, 0.161, 0.217)
F (0.839, 0.679, 0.217)
F (0.161, 0.839, 0.783)
Cu (0.333, 0.667, 0.664)
Cu (0.667, 0.333, 0.336)
Ac (0.000, 0.000, 0.000)

Properties
- Space group: P-3m1
- DFT total energy: -5.151 eV per atom
- D(E_F): 18.456 states/eV/f.u.



Below is a relaxed structure of NaYHf, with properties calculated at the PBE level.

Cell: 3.307 9.162 5.847 Å, 83.79 90.00 79.26°
Fractional positions:
Hf (0.000, 0.709, 0.300)
Hf (0.635, 0.447, 0.185)
Na (0.318, 0.076, 0.072)
Na (0.817, 0.078, 0.547)
Y (0.147, 0.425, 0.680)
Y (0.488, 0.731, 0.804)

Properties
- Distance to the lowest polymorph of the same formula: 44 kJ/mol of formula units
- Space group: P1
- D(E_F): 3.389 states/eV/f.u.
- Energy of formation: 0.81 eV per formula unit



Below is a relaxed structure of GaN3Cl, with properties calculated at the PBE level.

Cell: 4.065 4.065 4.065 Å, 90.00 90.00 90.00°
Fractional positions:
N (0.500, 0.000, 0.000)
N (0.000, 0.000, 0.500)
N (0.000, 0.500, 0.000)
Cl (0.500, 0.500, 0.500)
Ga (0.000, 0.000, 0.000)

Properties
- Space group: Pm-3m
- DFT total energy: -3.883 eV per atom
- D(E_F): 5.040 states/eV/f.u.



Below is a relaxed structure of Ca2RuWN, with properties calculated at the PBE level.

Cell: 5.811 3.805 5.811 Å, 90.00 90.00 90.00°
Fractional positions:
N (0.000, 0.500, 0.000)
Ca (0.000, 0.000, 0.500)
Ca (0.500, 0.000, 0.000)
W (0.000, 0.000, 0.000)
Ru (0.500, 0.500, 0.500)

Properties
- Space group: P4/mmm
- DFT total energy: -5.862 eV per atom
- D(E_F): 5.661 states/eV/f.u.



Below is a relaxed structure of Ho4In, with properties calculated at the PBE level.

Cell: 7.593 7.593 7.593 Å, 105.69 105.69 117.34°
Fractional positions:
In (0.250, 0.750, 0.500)
In (0.500, 0.500, 0.000)
Ho (0.596, 0.281, 0.685)
Ho (0.661, 0.846, 0.815)
Ho (0.031, 0.846, 0.185)
Ho (0.154, 0.339, 0.185)
Ho (0.719, 0.404, 0.315)
Ho (0.596, 0.911, 0.315)
Ho (0.089, 0.404, 0.685)
Ho (0.154, 0.969, 0.815)

Properties
- Distance to the lowest polymorph of the same formula: 103 kJ/mol of formula units
- Space group: I4_1/amd
- D(E_F): 9.743 states/eV/f.u.
- Energy of formation: 0.48 eV per formula unit



Below is a relaxed structure of ZrSc2HPb, with properties calculated at the PBE level.

Cell: 4.588 4.588 4.445 Å, 90.00 90.00 90.00°
Fractional positions:
Zr (0.000, 0.000, 0.500)
Sc (0.000, 0.500, 0.000)
Sc (0.500, 0.000, 0.000)
H (0.000, 0.000, 0.000)
Pb (0.500, 0.500, 0.500)

Properties
- Space group: P4/mmm
- DFT total energy: -6.019 eV per atom
- D(E_F): 4.554 states/eV/f.u.



Below is a relaxed structure of BaMg2InIr, with properties calculated at the PBE level.

Cell: 5.152 5.152 5.220 Å, 90.00 90.00 90.00°
Fractional positions:
Mg (0.500, 0.000, 0.000)
Mg (0.000, 0.500, 0.000)
In (0.000, 0.000, 0.500)
Ir (0.000, 0.000, 0.000)
Ba (0.500, 0.500, 0.500)

Properties
- Space group: P4/mmm
- D(E_F): 3.161 states/eV/f.u.
- Energy of formation: -1.60 eV per formula unit



Below is a relaxed structure of La4Pm11Er9, with properties calculated at the PBE level.

Cell: 3.583 14.965 14.965 Å, 92.10 90.00 90.00°
Fractional positions:
Pm (0.000, 0.586, 0.923)
Pm (0.000, 0.831, 0.169)
Pm (0.000, 0.238, 0.238)
Pm (0.000, 0.000, 0.000)
Pm (0.000, 0.077, 0.414)
Pm (0.000, 0.414, 0.077)
Pm (0.000, 0.762, 0.762)
Pm (0.000, 0.340, 0.660)
Pm (0.000, 0.660, 0.340)
Pm (0.000, 0.169, 0.831)
Pm (0.000, 0.923, 0.586)
Er (0.500, 0.128, 0.625)
Er (0.500, 0.206, 0.034)
Er (0.500, 0.794, 0.966)
Er (0.500, 0.872, 0.375)
Er (0.500, 0.034, 0.206)
Er (0.500, 0.966, 0.794)
Er (0.500, 0.500, 0.500)
Er (0.500, 0.625, 0.128)
Er (0.500, 0.375, 0.872)
La (0.500, 0.281, 0.451)
La (0.500, 0.549, 0.719)
La (0.500, 0.719, 0.549)
La (0.500, 0.451, 0.281)

Properties
- Space group: Cmmm
- D(E_F): 36.725 states/eV/f.u.
- Energy of formation: 1.34 eV per formula unit



Below is a relaxed structure of SrCuAg2, with properties calculated at the PBE level.

Cell: 4.598 4.598 5.891 Å, 66.70 66.70 60.26°
Fractional positions:
Ag (0.957, 0.957, 0.131)
Ag (0.233, 0.233, 0.301)
Sr (0.753, 0.753, 0.738)
Cu (0.557, 0.557, 0.330)

Properties
- Distance to the lowest polymorph of the same formula: 0 kJ/mol of formula units
- Space group: Cm
- D(E_F): 1.701 states/eV/f.u.
- Energy of formation: -0.45 eV per formula unit



Below is a relaxed structure of NdGe3Ir, with properties calculated at the PBE level.

Cell: 5.838 5.773 6.138 Å, 90.00 90.00 90.00°
Fractional positions:
Nd (0.921, 0.040, 0.201)
Nd (0.421, 0.313, 0.701)
Ir (0.660, 0.562, 0.201)
Ir (0.160, 0.791, 0.701)
Ge (0.370, 0.268, 0.201)
Ge (0.464, 0.852, 0.434)
Ge (0.964, 0.500, 0.934)
Ge (0.464, 0.853, 0.967)
Ge (0.964, 0.500, 0.467)
Ge (0.870, 0.085, 0.701)

Properties
- Space group: Pmn2_1
- D(E_F): 2.281 states/eV/f.u.
- Energy of formation: -2.92 eV per formula unit



Below is a relaxed structure of Be3Ru, with properties calculated at the PBE level.

Cell: 7.600 7.600 7.600 Å, 19.52 19.52 19.52°
Fractional positions:
Be (0.752, 0.752, 0.752)
Be (0.248, 0.248, 0.248)
Be (0.500, 0.500, 0.500)
Ru (0.000, 0.000, 0.000)

Properties
- Space group: R-3m
- D(E_F): 1.716 states/eV/f.u.
- Energy of formation: 0.88 eV per formula unit



Below is a relaxed structure of RhSeO4, with properties calculated at the PBE level.

Cell: 4.546 6.602 6.151 Å, 132.43 93.26 121.53°
Fractional positions:
O (0.289, 0.846, 0.001)
O (0.083, 0.076, 0.429)
O (0.735, 0.299, 0.863)
O (0.832, 0.655, 0.499)
Rh (0.684, 0.323, 0.550)
Se (0.628, 0.551, 0.159)

Properties
- Space group: P1
- DFT total energy: -5.513 eV per atom
- D(E_F): 2.786 states/eV/f.u.



Below is a relaxed structure of NdDyTm4, with properties calculated at the PBE level.

Cell: 4.972 7.897 11.181 Å, 148.13 89.96 108.37°
Fractional positions:
Tm (0.833, 0.666, 0.501)
Tm (0.167, 0.334, 0.499)
Tm (0.334, 0.669, 0.001)
Tm (0.666, 0.331, 0.999)
Nd (0.500, 0.000, 0.500)
Dy (0.000, 0.000, 0.000)

Properties
- Distance to the lowest polymorph of the same formula: 0 kJ/mol of formula units
- Space group: C2/m
- D(E_F): 8.024 states/eV/f.u.
- Energy of formation: 0.15 eV per formula unit



Below is a relaxed structure of CsTlHSe, with properties calculated at the PBE level.

Cell: 4.056 5.448 6.983 Å, 90.00 94.68 90.00°
Fractional positions:
Cs (0.080, 0.500, 0.093)
Tl (0.554, 0.000, 0.706)
H (0.947, 0.000, 0.356)
Se (0.597, 0.000, 0.269)

Properties
- Distance to the lowest polymorph of the same formula: 26 kJ/mol of formula units
- Space group: Pm
- D(E_F): 2.213 states/eV/f.u.